{"formula": "Li3CrNi4O8", "functional": "PBE with a Hubbard U", "state": "optimized geometry", "cell": [[5.0867, -2.9490, 0.0000], [5.0867, 2.9490, 0.0000], [-3.4140, 0.0000, 4.8157]], "species": ["Li", "Li", "Li", "Cr", "Ni", "Ni", "Ni", "Ni", "O", "O", "O", "O", "O", "O", "O", "O"], "fractional_positions": [[0.0000, 0.0000, 0.0000], [0.0000, 0.5000, 0.5000], [0.5000, 0.0000, 0.5000], [0.5000, 0.5000, 0.5000], [0.0000, 0.0000, 0.5000], [0.0000, 0.5000, 0.0000], [0.5000, 0.0000, 0.0000], [0.5000, 0.5000, 0.0000], [0.2495, 0.2495, 0.7700], [0.2614, 0.7374, 0.7378], [0.2626, 0.7386, 0.2622], [0.2681, 0.2681, 0.2608], [0.7319, 0.7319, 0.7392], [0.7374, 0.2614, 0.7378], [0.7386, 0.2626, 0.2622], [0.7505, 0.7505, 0.2300]], "total_energy_ev_per_atom": -5.3765, "magmom_total_mub_per_fu": 9.000}